Computed, not measured: a relaxed structure of NaMg6Ag12 at the PBE level of DFT.

The total DFT energy (no corrections) comes out at -2.4151 eV per atom. The calculation puts the energy of formation at -0.04 eV/atom.

The structure belongs to space group R-3 (No. 148, hexagonal axes); the cell edges are 11.4649, 11.4649 and 9.9251 Å and the angles 90.00°, 90.00° and 120.00°. The inequivalent atoms are Na at (0.0000, 0.0000, 0.0000), Mg at (0.0903, 0.9093, 0.7393), Ag at (0.9998, 0.2595, 0.9999) and Ag at (0.0586, 0.5298, 0.1247).

---

Computed, not measured: a relaxed structure of NaMg2Ag8 at the PBE level of DFT.

The total DFT energy (no corrections) comes out at -2.5359 eV per atom. The calculation puts the energy of formation at -0.05 eV/atom.

The structure belongs to space group P1 (No. 1); the cell edges are 4.957, 6.028 and 7.998 Å and the angles 111.20°, 103.13° and 90.65°. The inequivalent atoms are Na at (0.000, 0.000, 0.000), Mg at (0.270, 0.301, 0.682), Mg at (0.487, 0.623, 0.321), Ag at (0.000, 0.395, 0.347), Ag at (0.271, 0.810, 0.671), Ag at (0.493, 0.138, 0.329), Ag at (0.504, 0.716, 0.001), Ag at (0.756, 0.553, 0.664), Ag at (0.759, 0.051, 0.655), Ag at (0.993, 0.885, 0.335) and Ag at (0.994, 0.481, 0.000).

---

Computed, not measured: a relaxed structure of NaMgAg4 at the PBE level of DFT.

Its energy above the most stable polymorph in this dataset is 0.0 meV per atom. The total DFT energy (no corrections) comes out at -2.4335 eV per atom. The calculation puts the energy of formation at -0.05 eV/atom.

The structure belongs to space group F-43m (No. 216); the cell edges are 7.926, 7.926 and 7.926 Å and the angles 90.00°, 90.00° and 90.00°. The inequivalent atoms are Na at (0.000, 0.000, 0.000), Mg at (0.250, 0.250, 0.250) and Ag at (0.125, 0.125, 0.625).

---

Computed, not measured: a relaxed structure of NaMgAg2 at the PBE level of DFT.

The total DFT energy (no corrections) comes out at -2.2419 eV per atom. The calculation puts the energy of formation at -0.09 eV/atom.

The structure belongs to space group P4/mmm (No. 123); the cell edges are 3.363, 3.363 and 7.322 Å and the angles 90.00°, 90.00° and 90.00°. The inequivalent atoms are Na at (0.000, 0.000, 0.000), Mg at (0.000, 0.000, 0.500) and Ag at (0.500, 0.500, 0.285).

---

Computed, not measured: a relaxed structure of NaMg2Ag at the PBE level of DFT.

The total DFT energy (no corrections) comes out at -1.7846 eV per atom. The calculation puts the energy of formation at 0.06 eV/atom.

The structure belongs to space group R-3m (No. 166, hexagonal axes); the cell edges are 3.1888, 3.1888 and 32.2210 Å and the angles 90.00°, 90.00° and 120.00°. The inequivalent atoms are Na at (0.0000, 0.0000, 0.0000), Mg at (0.0000, 0.0000, 0.0979) and Ag at (0.0000, 0.0000, 0.5000).

---

Computed, not measured: a relaxed structure of NaMg2Ag at the PBE level of DFT.

The total DFT energy (no corrections) comes out at -1.8161 eV per atom. The calculation puts the energy of formation at 0.02 eV/atom.

The structure belongs to space group R3m (No. 160, hexagonal axes); the cell edges are 4.8497, 4.8497 and 14.7739 Å and the angles 90.00°, 90.00° and 120.00°. The inequivalent atoms are Na at (0.0000, 0.0000, 0.0000), Mg at (0.0000, 0.0000, 0.5421), Mg at (0.0000, 0.0000, 0.7868) and Ag at (0.0000, 0.0000, 0.2003).